(1)
KMnO2: relaxed, PBEsol. Values from VASP.

Properties
Calculated density: 3.37 g/cm3
Crystal system: monoclinic
E_form (uncorrected): -1.42 eV/atom

Geometry as Quantum ESPRESSO input:
```
&SYSTEM
  ibrav = 0, nat = 8, ntyp = 3
/
ATOMIC_SPECIES
Mn 54.94 Mn.upf
O 16.00 O.upf
K 39.10 K.upf
ATOMIC_POSITIONS angstrom
Mn -2.492 -4.394 0.932
Mn -6.144 -3.877 2.826
O -3.819 -4.119 -0.366
K -3.608 -1.258 0.541
O -4.816 -4.151 4.124
O -6.052 -5.255 1.514
O -2.584 -3.015 2.244
K -5.028 -7.013 3.217
CELL_PARAMETERS angstrom
-3.092 0.445 -0.683
-2.284 -5.918 -1.003
-3.260 -2.797 5.445
```


(2)
K2MnO4: relaxed, PBEsol. Values from VASP.

Properties
Calculated density: 2.87 g/cm3
Crystal system: monoclinic
E_form (uncorrected): -1.69 eV/atom

Geometry as Quantum ESPRESSO input:
```
&SYSTEM
  ibrav = 0, nat = 28, ntyp = 3
/
ATOMIC_SPECIES
K 39.10 K.upf
O 16.00 O.upf
Mn 54.94 Mn.upf
ATOMIC_POSITIONS angstrom
K -8.999 -0.083 0.703
O -2.878 -2.363 -2.629
K -5.918 -0.643 -1.433
Mn -7.461 -2.831 1.913
Mn -6.076 1.772 1.058
O -10.658 1.304 5.600
O -9.995 0.905 3.018
O -6.697 0.851 2.261
O -4.596 1.201 0.600
O -6.840 -1.910 0.711
O -7.622 -4.391 1.419
K -4.595 -4.776 1.325
O -10.341 2.147 -0.246
K -2.278 0.378 -0.675
O -8.690 2.741 4.475
K -8.942 3.716 1.647
O -3.196 -3.206 3.218
Mn -10.145 2.017 4.219
Mn -3.392 -3.077 -1.248
O -4.847 -3.801 -1.503
K -7.618 -0.417 4.405
O -7.067 1.716 -0.253
O -8.941 -2.260 2.372
O -6.470 -2.775 3.225
O -3.541 -1.964 -0.046
K -4.538 -0.976 2.269
O -5.915 3.332 1.553
K -11.259 -1.437 3.647
CELL_PARAMETERS angstrom
-2.879 -3.641 -3.567
-2.641 -3.806 6.017
-8.017 6.387 0.522
```


(3)
K3MnO: relaxed, PBEsol. Values from VASP.

Properties
Calculated density: 1.45 g/cm3
Crystal system: cubic
E_form (uncorrected): 1.01 eV/atom

Geometry as Quantum ESPRESSO input:
```
&SYSTEM
  ibrav = 0, nat = 5, ntyp = 3
/
ATOMIC_SPECIES
Mn 54.94 Mn.upf
K 39.10 K.upf
O 16.00 O.upf
ATOMIC_POSITIONS angstrom
Mn 0.000 0.000 0.000
K 0.000 0.000 2.995
K 0.000 2.995 0.000
K 2.995 0.000 0.000
O 2.995 2.995 2.995
CELL_PARAMETERS angstrom
5.991 0.000 0.000
0.000 5.991 0.000
0.000 0.000 5.991
```


(4)
KMnO4: relaxed, PBEsol. Values from VASP.

Properties
Calculated density: 2.80 g/cm3
Crystal system: orthorhombic
E_form (uncorrected): -1.48 eV/atom

Geometry as Quantum ESPRESSO input:
```
&SYSTEM
  ibrav = 0, nat = 24, ntyp = 3
/
ATOMIC_SPECIES
O 16.00 O.upf
K 39.10 K.upf
Mn 54.94 Mn.upf
ATOMIC_POSITIONS angstrom
O 4.203 4.546 8.123
K 1.401 6.208 7.439
O 4.203 3.904 1.552
Mn 4.203 5.902 5.060
Mn 4.203 5.111 0.500
K 4.203 1.134 1.681
K 4.203 2.537 6.241
O 1.401 0.233 3.008
O 1.401 3.438 7.568
O 4.203 6.467 3.563
O 5.516 4.998 5.287
Mn 1.401 2.231 8.620
O 1.401 0.875 5.557
K 1.401 4.805 2.879
O 0.088 1.327 8.393
O 1.401 2.796 0.997
O 5.516 6.015 0.727
O 2.891 4.998 5.287
Mn 1.401 1.440 4.060
O 2.714 1.327 8.393
O 4.203 7.109 6.112
O 2.714 2.344 3.833
O 0.088 2.344 3.833
O 2.891 6.015 0.727
CELL_PARAMETERS angstrom
5.604 0.000 0.000
0.000 7.342 0.000
0.000 0.000 9.120
```


(5)
KMnO2: relaxed, PBEsol. Values from VASP.

Properties
Calculated density: 3.55 g/cm3
Crystal system: orthorhombic
E_form (uncorrected): -1.51 eV/atom

Geometry as Quantum ESPRESSO input:
```
&SYSTEM
  ibrav = 0, nat = 8, ntyp = 3
/
ATOMIC_SPECIES
O 16.00 O.upf
Mn 54.94 Mn.upf
K 39.10 K.upf
ATOMIC_POSITIONS angstrom
O 0.831 -2.164 1.387
O 4.338 -2.610 3.089
Mn 2.450 -2.006 0.418
O 1.123 0.569 3.906
K 0.000 0.000 0.000
K 1.828 -2.039 3.905
O 2.824 -1.913 6.424
Mn -0.622 -0.033 3.487
CELL_PARAMETERS angstrom
-1.806 -2.036 0.816
4.900 -4.011 0.837
0.561 1.970 6.159
```


(6)
KMnPO4: relaxed, PBEsol. Values from VASP.

Properties
Calculated density: 3.09 g/cm3
Crystal system: triclinic
E_form (uncorrected): -2.00 eV/atom

Geometry as Quantum ESPRESSO input:
```
&SYSTEM
  ibrav = 0, nat = 28, ntyp = 4
/
ATOMIC_SPECIES
P 30.97 P.upf
Mn 54.94 Mn.upf
O 16.00 O.upf
K 39.10 K.upf
ATOMIC_POSITIONS angstrom
P 3.874 -0.315 6.397
Mn 1.862 1.593 4.467
P 0.950 3.265 1.699
O 3.519 6.461 5.584
K 1.917 5.626 3.775
O 2.454 7.001 -0.155
O 3.438 0.638 2.008
O 1.296 0.003 3.243
O 6.544 4.951 1.780
K 0.984 0.360 7.642
Mn 3.852 2.228 0.748
P 3.083 7.414 1.196
O 1.612 2.941 3.066
O 3.805 6.189 1.819
Mn 3.105 4.871 6.844
O 1.170 4.530 6.182
O 4.503 0.099 7.747
O 4.925 4.024 6.993
O 5.786 2.569 1.410
O 3.152 0.910 5.773
P 6.007 3.834 5.893
K 5.039 1.473 3.817
O 2.031 3.076 0.599
O 5.660 7.096 4.350
K 5.973 6.739 -0.049
O 5.344 4.159 4.527
Mn 5.095 5.506 3.125
O 0.413 2.149 5.813
CELL_PARAMETERS angstrom
6.073 0.210 0.017
0.695 7.895 -1.053
0.188 -1.006 8.629
```


(7)
K4Ti3MnP6O24: relaxed, PBEsol. Values from VASP.

Properties
Calculated density: 3.15 g/cm3
Crystal system: monoclinic
E_form (uncorrected): -2.48 eV/atom

Geometry as Quantum ESPRESSO input:
```
&SYSTEM
  ibrav = 0, nat = 76, ntyp = 5
/
ATOMIC_SPECIES
K 39.10 K.upf
Ti 47.87 Ti.upf
O 16.00 O.upf
P 30.97 P.upf
Mn 54.94 Mn.upf
ATOMIC_POSITIONS angstrom
K 0.668 3.189 4.297
Ti 8.523 1.069 6.364
O 2.592 2.758 6.945
P 2.778 8.779 0.431
O 4.916 1.726 6.485
O 2.118 0.260 0.357
O 3.120 5.011 9.189
O 9.212 0.920 9.885
O 7.069 9.643 9.556
Ti 3.572 8.835 3.549
O 3.486 2.453 4.251
O 8.437 7.451 5.662
O 2.731 8.249 1.895
O 6.975 2.067 0.488
O 8.070 4.893 0.724
Mn 1.432 6.006 8.503
O 5.151 9.424 7.562
O 7.179 7.597 7.787
P 7.729 1.125 9.482
O 7.543 7.145 2.968
K 9.273 8.023 0.609
O 9.400 0.426 4.716
O 4.261 8.983 0.027
O 7.355 3.193 3.145
O 9.572 6.970 7.914
O 0.307 1.843 6.940
O 3.003 7.185 4.379
O 5.577 5.635 2.354
K 5.618 6.714 5.616
O 7.954 2.719 5.534
O 1.452 2.437 9.133
O 9.005 9.316 7.230
O 4.449 9.478 5.197
P 0.401 9.635 3.666
O 5.739 3.858 4.986
P 5.351 0.269 6.247
O 4.621 2.934 1.998
P 4.535 5.161 8.657
O 5.257 8.060 2.973
K 1.969 9.367 7.061
O 9.854 3.229 1.388
K 4.323 1.881 9.304
O 0.626 4.269 7.558
O 4.904 6.675 8.525
P 8.579 7.824 7.157
O 4.055 0.588 2.682
O 2.405 6.711 6.768
O 9.614 5.324 2.708
P 9.486 4.743 1.256
O 0.608 5.497 0.420
Ti 9.020 6.530 4.076
Mn 6.382 3.897 1.410
K 7.873 4.538 7.974
O 2.228 2.307 2.126
Ti 5.806 8.256 9.038
O 2.024 7.837 9.425
P 3.629 2.079 2.756
O 6.813 0.224 5.749
O 7.681 1.655 8.018
P 7.218 3.701 4.566
O 5.558 4.406 9.492
P 2.267 6.202 5.347
O 4.663 4.580 7.204
Ti 0.855 1.648 0.874
O 7.898 5.076 4.816
O 0.789 6.046 4.927
Ti 4.069 3.374 5.837
O 1.862 9.680 4.164
O 0.200 0.480 2.350
P 1.224 2.881 7.669
O 9.866 8.178 3.428
P 6.174 7.023 2.243
O 6.402 7.466 0.780
K 2.923 5.366 1.938
K 6.920 0.536 2.852
O 2.947 4.828 5.097
CELL_PARAMETERS angstrom
9.901 0.000 0.000
0.000 9.918 -0.009
0.000 -0.014 9.921
```


(8)
K4Zr3MnP6O24: relaxed, PBEsol. Values from VASP.

Properties
Calculated density: 3.26 g/cm3
Crystal system: monoclinic
E_form (uncorrected): -2.59 eV/atom

Geometry as Quantum ESPRESSO input:
```
&SYSTEM
  ibrav = 0, nat = 76, ntyp = 5
/
ATOMIC_SPECIES
O 16.00 O.upf
P 30.97 P.upf
Zr 91.22 Zr.upf
K 39.10 K.upf
Mn 54.94 Mn.upf
ATOMIC_POSITIONS angstrom
O -5.518 4.041 -6.068
P -4.700 0.492 -7.519
O -8.322 -3.070 -3.441
O -4.283 -0.925 -7.021
O -3.848 -0.727 -1.871
P -11.362 -0.863 -7.700
Zr -12.627 1.897 -0.456
O -11.184 0.531 -1.064
O -8.561 2.236 -7.982
K -10.696 -1.613 -4.015
O -3.391 -1.021 -4.273
P -2.275 -2.550 -9.331
P -9.765 3.117 -8.243
O -5.228 -0.534 0.705
O -11.676 0.185 -6.603
O -4.506 -5.234 -7.396
O -9.688 1.596 -4.977
O -6.998 -2.874 -0.743
O -3.639 3.241 -3.995
K -7.310 -6.175 -6.826
O -4.468 -3.115 -0.356
O -10.338 -0.381 -8.706
O -8.444 -0.284 -6.182
P -13.846 0.429 -3.281
P -4.521 -0.629 -3.263
O -7.214 1.660 -5.117
O -6.904 0.206 -1.077
Zr -5.387 2.426 -4.725
O -7.662 5.647 -2.668
P -8.418 0.671 -4.994
O -2.302 0.407 0.077
O -9.564 -1.405 -1.352
O -6.795 5.771 -7.282
K -8.714 4.312 -5.110
Zr -11.630 1.936 -5.536
O -7.643 -0.440 1.261
O -4.523 1.490 -6.343
O -10.936 -2.161 -6.971
O -3.510 -3.519 -5.825
O -11.469 3.499 -4.207
O -11.878 3.333 -1.716
P -10.772 -0.897 -0.597
P -6.544 0.269 0.403
Zr -3.462 -1.339 0.048
O -4.874 0.863 -3.486
P -5.820 -3.820 -0.652
O -12.738 -1.122 -8.398
O -10.654 -6.296 -6.897
Mn -7.555 -1.427 -2.258
K -4.321 2.408 -0.955
O -9.928 -4.993 -3.173
Zr -2.612 -1.688 -6.050
O -12.028 -4.162 -5.473
O -13.919 1.317 -2.021
O -8.394 -0.054 -3.652
K -8.736 2.051 -1.723
O -6.606 4.101 -0.911
P -8.726 -4.423 -3.983
P -6.478 4.723 -2.283
O -9.126 -4.267 -5.478
O -5.712 -1.551 -3.413
O -10.556 -0.860 0.940
Zr -10.601 -4.194 -6.961
O -12.576 0.755 -4.085
K -6.664 -2.265 -5.891
O -5.172 5.568 -2.375
O -1.809 -2.399 -7.868
O -8.194 -4.902 2.507
K -6.278 3.048 -9.173
K -9.418 -4.047 -0.497
O -6.448 3.591 -3.349
O -7.670 -1.915 -8.562
O -10.928 2.909 -7.236
O -7.593 -5.480 -3.947
Mn -8.263 0.107 -8.256
O -6.099 0.493 -8.092
CELL_PARAMETERS angstrom
-1.367 -3.608 -9.456
-8.318 -5.106 3.150
-5.852 8.138 -2.259
```


(9)
K2MnSe2O6: relaxed, PBEsol. Values from VASP.

Properties
Calculated density: 3.82 g/cm3
Crystal system: trigonal
E_form (uncorrected): -1.30 eV/atom

Geometry as Quantum ESPRESSO input:
```
&SYSTEM
  ibrav = 0, nat = 11, ntyp = 4
/
ATOMIC_SPECIES
K 39.10 K.upf
Se 78.96 Se.upf
O 16.00 O.upf
Mn 54.94 Mn.upf
ATOMIC_POSITIONS angstrom
K 8.406 4.853 3.624
Se 5.604 3.236 0.695
K 2.802 1.618 2.564
O 4.250 2.454 4.776
O 4.250 4.018 1.412
O 5.604 4.799 4.776
O 6.959 2.454 4.776
O 6.959 4.018 1.412
O 5.604 1.672 1.412
Se 5.604 3.236 5.492
Mn 0.000 0.000 0.000
CELL_PARAMETERS angstrom
5.604 0.000 0.000
2.802 4.853 0.000
2.802 1.618 6.188
```


(10)
KMnSe2O8: relaxed, PBEsol. Values from VASP.

Properties
Calculated density: 3.54 g/cm3
Crystal system: triclinic
E_form (uncorrected): -1.04 eV/atom

Geometry as Quantum ESPRESSO input:
```
&SYSTEM
  ibrav = 0, nat = 12, ntyp = 4
/
ATOMIC_SPECIES
Se 78.96 Se.upf
O 16.00 O.upf
Mn 54.94 Mn.upf
K 39.10 K.upf
ATOMIC_POSITIONS angstrom
Se 4.319 3.076 1.587
O 2.159 1.793 7.624
Mn 0.000 0.000 0.000
O 5.189 3.592 0.237
O 4.592 1.635 6.412
O 4.164 1.426 1.462
O 3.185 3.959 6.399
O 4.895 3.522 3.047
K 0.297 0.373 3.941
Se 3.030 2.309 6.274
O 2.454 1.863 4.814
O 2.757 3.751 1.448
CELL_PARAMETERS angstrom
4.854 -0.009 -0.007
1.900 4.648 -0.014
0.595 0.747 7.881
```


- The lowest calculated density belongs to which entry?
  K3MnO


- Which formula does entry 9 have?
  K2MnSe2O6


- Among the records above, which one has the highest E_form (uncorrected)?
  K3MnO